(1)
VASP calculation (PBE) on a relaxed Ho3CdO crystal.

Its uncorrected formation energy is -6.6 eV per formula unit.

Cell: 4.7614 4.7614 4.7614 Å, 90.00 90.00 90.00°
Positions (direct):
O: 0.0000 0.0000 0.0000
Ho: 0.5000 0.0000 0.0000
Cd: 0.5000 0.5000 0.5000
Ho: 0.0000 0.0000 0.5000
Ho: 0.0000 0.5000 0.0000

(2)
VASP calculation (PBE) on a relaxed Ho2CdOsO8 crystal.

Its uncorrected formation energy is -24.1 eV per formula unit.

Cell: 4.9148 4.9126 7.0301 Å, 90.00 90.00 92.13°
Positions (direct):
Ho: 0.5000 0.5000 0.2565
O: 0.3045 0.3044 0.5000
O: 0.1841 0.8155 0.1904
O: 0.7221 0.7225 0.0000
Os: 0.0000 0.0000 0.0000
O: 0.8159 0.1845 0.8096
O: 0.1841 0.8155 0.8096
O: 0.8159 0.1845 0.1904
O: 0.6955 0.6956 0.5000
O: 0.2779 0.2775 0.0000
Cd: 0.0000 0.0000 0.5000
Ho: 0.5000 0.5000 0.7435

(3)
VASP calculation (PBE) on a relaxed HoPa2CdO8 crystal.

Its uncorrected formation energy is -36.1 eV per formula unit.

Cell: 5.4138 5.4138 6.6125 Å, 114.16 114.16 90.00°
Positions (direct):
O: 0.3680 0.3866 0.2456
Cd: 0.7500 0.2500 0.5000
Pa: 0.2500 0.7500 0.5000
O: 0.3680 0.8591 0.2457
O: 0.8777 0.3866 0.2457
O: 0.6134 0.6320 0.7543
O: 0.1409 0.6320 0.7544
Ho: 0.0000 0.0000 0.0000
O: 0.6134 0.1223 0.7544
O: 0.1409 0.1223 0.7543
O: 0.8777 0.8591 0.2456
Pa: 0.5000 0.5000 0.0000

(4)
VASP calculation (PBE) on a relaxed PmHo2CdO crystal.

Its uncorrected formation energy is -6.5 eV per formula unit.

Cell: 4.9310 4.7717 4.7717 Å, 90.00 90.00 90.00°
Positions (direct):
Ho: 0.0000 0.5000 0.0000
Pm: 0.5000 0.0000 0.0000
Ho: 0.0000 0.0000 0.5000
Cd: 0.5000 0.5000 0.5000
O: 0.0000 0.0000 0.0000

(5)
VASP calculation (PBE) on a relaxed Pr2HoCdO crystal.

Its uncorrected formation energy is -6.4 eV per formula unit.

Cell: 4.7027 5.0769 5.0769 Å, 90.00 90.00 90.00°
Positions (direct):
O: 0.0000 0.0000 0.0000
Pr: 0.0000 0.0000 0.5000
Cd: 0.5000 0.5000 0.5000
Ho: 0.5000 0.0000 0.0000
Pr: 0.0000 0.5000 0.0000

(6)
VASP calculation (PBE) on a relaxed Ho2PuCdO8 crystal.

Its uncorrected formation energy is -29.4 eV per formula unit.

Cell: 4.9974 5.0091 7.1371 Å, 90.00 90.00 92.30°
Last column: magnetic moment on the atom in μB.
Positions (direct):
O: 0.8130 0.1886 0.7978  -0.01
O: 0.1870 0.8114 0.7978  -0.01
Ho: 0.5000 0.5000 0.2612  0.00
O: 0.3052 0.3045 0.5000  0.04
Cd: 0.0000 0.0000 0.5000  0.00
O: 0.1870 0.8114 0.2022  -0.01
O: 0.6948 0.6955 0.5000  0.04
O: 0.8130 0.1886 0.2022  -0.01
Pu: 0.0000 0.0000 0.0000  0.24
O: 0.7103 0.7123 0.0000  -0.01
O: 0.2897 0.2877 0.0000  -0.01
Ho: 0.5000 0.5000 0.7388  0.00

(7)
VASP calculation (PBE) on a relaxed HoPuCdO6 crystal.

Its uncorrected formation energy is -21.0 eV per formula unit.

Cell: 4.7253 5.7111 5.7111 Å, 120.00 90.00 90.00°
Last column: magnetic moment on the atom in μB.
Positions (direct):
Ho: 0.5000 0.6667 0.3333  -0.01
O: 0.2730 0.7033 0.0067  -0.06
O: 0.2730 0.9933 0.6966  -0.06
Cd: 0.0000 0.3333 0.6667  -0.01
Pu: 0.5000 0.0000 0.0000  1.40
O: 0.2730 0.3034 0.2967  -0.06
O: 0.7270 0.9933 0.2967  -0.06
O: 0.7270 0.7033 0.6966  -0.06
O: 0.7270 0.3034 0.0067  -0.06

(8)
VASP calculation (PBE) on a relaxed Rb2HoCd2O4 crystal.

Its uncorrected formation energy is -15.0 eV per formula unit.

Cell: 3.5411 7.8924 10.4964 Å, 139.11 90.00 102.96°
Positions (direct):
Rb: 0.1290 0.2580 0.4822
Cd: 0.6921 0.3841 0.0289
Rb: 0.8710 0.7420 0.5178
O: 0.7715 0.5430 0.8033
O: 0.5351 0.0703 0.1783
Ho: 0.0000 0.0000 0.0000
O: 0.4649 0.9297 0.8217
O: 0.2285 0.4570 0.1967
Cd: 0.3079 0.6159 0.9711

(9)
VASP calculation (PBE) on a relaxed Ho2CdReO8 crystal.

Its uncorrected formation energy is -25.9 eV per formula unit.

Cell: 4.9394 4.9366 6.9937 Å, 89.99 90.00 92.18°
Last column: magnetic moment on the atom in μB.
Positions (direct):
O: 0.8154 0.1857 0.1938  0.05
O: 0.2802 0.2787 0.0001  0.08
O: 0.6946 0.6959 0.5001  0.09
O: 0.7198 0.7213 0.9999  0.08
O: 0.1846 0.8143 0.8062  0.05
O: 0.1844 0.8140 0.1938  0.05
Ho: 0.5002 0.5001 0.2521  -0.01
Ho: 0.4998 0.4999 0.7479  -0.01
O: 0.8156 0.1860 0.8062  0.05
Cd: 0.0000 0.0000 0.5000  0.02
Re: 0.0000 0.0000 0.0000  -0.04
O: 0.3054 0.3041 0.4999  0.09

(10)
VASP calculation (PBE) on a relaxed HoCdReO6 crystal.

Its uncorrected formation energy is -17.7 eV per formula unit.

Cell: 5.4965 5.4965 4.7459 Å, 90.00 90.00 60.00°
Positions (direct):
Cd: 0.0000 0.0000 0.0000
O: 0.0445 0.6188 0.7251
O: 0.0445 0.3366 0.2748
O: 0.3366 0.6188 0.2748
O: 0.3366 0.0446 0.7252
Ho: 0.6666 0.6667 0.5000
Re: 0.3333 0.3334 0.5000
O: 0.6188 0.3366 0.7252
O: 0.6188 0.0446 0.2748

(11)
VASP calculation (PBE) on a relaxed HoCd2RhO6 crystal.

Its uncorrected formation energy is -14.7 eV per formula unit.

Cell: 5.6016 5.6978 8.0578 Å, 90.00 90.23 90.00°
Last column: magnetic moment on the atom in μB.
Positions (direct):
Ho: 0.0000 0.5000 0.5000  0.01
O: 0.7063 0.3232 0.9442  0.14
O: 0.2063 0.1768 0.4442  0.14
Cd: 0.4937 0.4546 0.2482  0.01
Rh: 0.0000 0.5000 0.0000  1.03
O: 0.6692 0.2916 0.5634  0.16
Rh: 0.5000 0.0000 0.5000  1.03
O: 0.1105 0.4429 0.7670  0.10
Cd: 0.0063 0.9546 0.2518  0.01
O: 0.8895 0.5571 0.2330  0.10
Ho: 0.5000 0.0000 0.0000  0.01
O: 0.3895 0.9429 0.7330  0.10
O: 0.1692 0.2084 0.0634  0.16
O: 0.3308 0.7084 0.4366  0.16
O: 0.2937 0.6768 0.0558  0.14
O: 0.7937 0.8232 0.5558  0.14
O: 0.6105 0.0571 0.2670  0.10
Cd: 0.5063 0.5454 0.7518  0.01
Cd: 0.9937 0.0454 0.7482  0.01
O: 0.8308 0.7916 0.9366  0.16

(12)
VASP calculation (PBE) on a relaxed HoCd2RuO6 crystal.

Its uncorrected formation energy is -13.7 eV per formula unit.

Cell: 4.5471 5.7689 5.7689 Å, 90.00 90.00 90.00°
Last column: magnetic moment on the atom in μB.
Positions (direct):
O: 0.1509 0.5000 0.5000  -0.01
O: 0.7223 0.7713 0.7713  0.02
Cd: 0.9799 0.5000 0.0000  0.01
Ho: 0.6258 0.5000 0.5000  0.04
O: 0.7223 0.7713 0.2287  0.02
Ru: 0.6017 0.0000 0.0000  0.63
O: 0.7223 0.2287 0.2287  0.02
O: 0.2191 0.0000 0.0000  0.13
Cd: 0.9799 0.0000 0.5000  0.01
O: 0.7223 0.2287 0.7713  0.02

(13)
VASP calculation (PBE) on a relaxed Ho2ScCdO crystal.

Its uncorrected formation energy is -6.7 eV per formula unit.

Cell: 4.5090 4.7471 4.7471 Å, 90.00 90.00 90.00°
Positions (direct):
Ho: 0.0000 0.0000 0.5000
Sc: 0.5000 0.0000 0.0000
Ho: 0.0000 0.5000 0.0000
Cd: 0.5000 0.5000 0.5000
O: 0.0000 0.0000 0.0000

(14)
VASP calculation (PBE) on a relaxed HoSc2CdO crystal.

Its uncorrected formation energy is -6.8 eV per formula unit.

Cell: 4.6941 4.5030 4.5030 Å, 90.00 90.00 90.00°
Positions (direct):
O: 0.0000 0.0000 0.0000
Sc: 0.0000 0.0000 0.5000
Cd: 0.5000 0.5000 0.5000
Sc: 0.0000 0.5000 0.0000
Ho: 0.5000 0.0000 0.0000

(15)
VASP calculation (PBE) on a relaxed Ho2CdSiO6 crystal.

Its uncorrected formation energy is -26.3 eV per formula unit.

Cell: 4.9779 5.1993 5.1993 Å, 90.00 90.00 90.00°
Positions (direct):
Si: 0.6138 0.0000 0.0000
Ho: 0.9873 0.0000 0.5000
O: 0.7336 0.7749 0.2251
O: 0.7336 0.7749 0.7749
Cd: 0.5342 0.5000 0.5000
O: 0.7336 0.2251 0.2251
O: 0.7336 0.2251 0.7749
O: 0.1127 0.5000 0.5000
O: 0.2769 0.0000 0.0000
Ho: 0.9873 0.5000 0.0000

(16)
VASP calculation (PBE) on a relaxed Sm2HoCdO crystal.

Its uncorrected formation energy is -6.5 eV per formula unit.

Cell: 4.7457 4.9249 4.9249 Å, 90.00 90.00 90.00°
Positions (direct):
Cd: 0.5000 0.5000 0.5000
O: 0.0000 0.0000 0.0000
Sm: 0.0000 0.0000 0.5000
Ho: 0.5000 0.0000 0.0000
Sm: 0.0000 0.5000 0.0000

(17)
VASP calculation (PBE) on a relaxed SmHo2CdO crystal.

Its uncorrected formation energy is -6.5 eV per formula unit.

Cell: 4.9037 4.7688 4.7688 Å, 90.00 90.00 90.00°
Positions (direct):
Sm: 0.5000 0.0000 0.0000
Ho: 0.0000 0.5000 0.0000
O: 0.0000 0.0000 0.0000
Ho: 0.0000 0.0000 0.5000
Cd: 0.5000 0.5000 0.5000

(18)
VASP calculation (PBE) on a relaxed Ho2CdSnO6 crystal.

Its uncorrected formation energy is -24.9 eV per formula unit.

Cell: 5.6936 5.6936 6.0073 Å, 61.71 61.71 60.00°
Positions (direct):
O: 0.2221 0.9449 0.2397
Ho: 0.0205 0.0205 0.9386
O: 0.4043 0.6974 0.7613
O: 0.1370 0.4043 0.7613
Cd: 0.7996 0.7996 0.6011
Sn: 0.3162 0.3162 0.0514
Ho: 0.5263 0.5263 0.4210
O: 0.5933 0.2221 0.2397
O: 0.9449 0.5933 0.2397
O: 0.6974 0.1370 0.7613

(19)
VASP calculation (PBE) on a relaxed HoTaCd2O6 crystal.

Its uncorrected formation energy is -23.3 eV per formula unit.

Cell: 5.6102 5.7561 8.1671 Å, 90.00 90.39 90.00°
Positions (direct):
O: 0.1097 0.4420 0.7658
Ho: 0.5000 0.0000 0.0000
O: 0.7982 0.8255 0.5539
O: 0.7018 0.3255 0.9461
Cd: 0.4943 0.4579 0.2490
O: 0.3903 0.9420 0.7342
Ta: 0.5000 0.0000 0.5000
O: 0.8325 0.7955 0.9348
O: 0.6675 0.2955 0.5652
Ta: 0.0000 0.5000 0.0000
O: 0.2018 0.1745 0.4461
O: 0.1675 0.2045 0.0652
Cd: 0.0057 0.9579 0.2510
O: 0.8903 0.5580 0.2342
O: 0.6097 0.0580 0.2658
Ho: 0.0000 0.5000 0.5000
O: 0.2982 0.6745 0.0539
Cd: 0.9943 0.0421 0.7490
O: 0.3325 0.7045 0.4348
Cd: 0.5057 0.5421 0.7510

(20)
VASP calculation (PBE) on a relaxed TbHo2CdO crystal.

Its uncorrected formation energy is -6.6 eV per formula unit.

Cell: 4.8093 4.7637 4.7637 Å, 90.00 90.00 90.00°
Positions (direct):
O: 0.0000 0.0000 0.0000
Tb: 0.5000 0.0000 0.0000
Cd: 0.5000 0.5000 0.5000
Ho: 0.0000 0.0000 0.5000
Ho: 0.0000 0.5000 0.0000

(21)
VASP calculation (PBE) on a relaxed HoCdTc2O8 crystal.

Its uncorrected formation energy is -20.2 eV per formula unit.

Cell: 6.1392 6.1392 7.7258 Å, 90.00 90.00 120.00°
Positions (direct):
O: 0.1752 0.8253 0.6613
Tc: 0.3333 0.6667 0.7363
O: 0.3500 0.1752 0.3387
O: 0.3333 0.6667 0.9597
Ho: 0.0000 0.0000 0.5000
O: 0.8253 0.6500 0.3387
O: 0.8248 0.1747 0.3387
O: 0.6500 0.8248 0.6613
O: 0.1747 0.3500 0.6613
Tc: 0.6667 0.3333 0.2637
O: 0.6667 0.3333 0.0403
Cd: 0.0000 0.0000 0.0000

(22)
VASP calculation (PBE) on a relaxed HoCd2TeO6 crystal.

Its uncorrected formation energy is -14.2 eV per formula unit.

Cell: 4.7809 5.6799 5.6799 Å, 90.00 90.00 90.00°
Positions (direct):
Cd: 0.0082 0.5000 0.0000
Cd: 0.0082 0.0000 0.5000
O: 0.1481 0.5000 0.5000
O: 0.7213 0.7667 0.7667
O: 0.2073 0.0000 0.0000
Te: 0.6018 0.0000 0.0000
Ho: 0.5881 0.5000 0.5000
O: 0.7213 0.2333 0.2333
O: 0.7213 0.7667 0.2333
O: 0.7213 0.2333 0.7667

(23)
VASP calculation (PBE) on a relaxed Ho4TlCdO crystal.

Its uncorrected formation energy is -6.9 eV per formula unit.

Cell: 6.5695 6.5710 8.6397 Å, 90.00 112.35 90.00°
Positions (direct):
Ho: 0.4234 0.7500 0.8468
Tl: 0.8875 0.7500 0.7750
Ho: 0.9206 0.2500 0.8412
Cd: 0.6154 0.7500 0.2308
Ho: 0.0000 0.5000 0.5000
Cd: 0.3846 0.2500 0.7692
O: 0.2492 0.7500 0.4984
Ho: 0.0794 0.7500 0.1588
Ho: 0.5766 0.2500 0.1532
Ho: 0.5000 0.0000 0.5000
Tl: 0.1125 0.2500 0.2250
Ho: 0.0000 0.0000 0.5000
O: 0.7508 0.2500 0.5016
Ho: 0.5000 0.5000 0.5000